# 1
{
  "formula": "ZrAg2Pt",
  "functional": "PBE",
  "state": "optimized geometry",
  "lattice": [[3.893, 0.000, 0.000], [0.000, 3.893, 0.000], [0.000, 0.000, 4.899]],
  "species": ["Zr", "Ag", "Ag", "Pt"],
  "frac_coords": [[0.000, 0.000, 0.000], [0.000, 0.500, 0.500], [0.500, 0.000, 0.500], [0.500, 0.500, 0.000]],
  "dos_ef_per_ev_cell": 3.22,
  "formation_energy_ev_per_atom": -0.2349
}

# 2
{
  "formula": "Zr2AgPt9",
  "functional": "PBE",
  "state": "optimized geometry",
  "lattice": [[4.041, 0.000, 0.000], [0.000, 4.041, 0.000], [0.000, 0.000, 12.085]],
  "species": ["Zr", "Zr", "Ag", "Pt", "Pt", "Pt", "Pt", "Pt", "Pt", "Pt", "Pt", "Pt"],
  "frac_coords": [[0.000, 0.000, 0.172], [0.000, 0.000, 0.828], [0.000, 0.000, 0.500], [0.000, 0.500, 0.000], [0.000, 0.500, 0.332], [0.000, 0.500, 0.668], [0.500, 0.000, 0.000], [0.500, 0.000, 0.332], [0.500, 0.000, 0.668], [0.500, 0.500, 0.166], [0.500, 0.500, 0.500], [0.500, 0.500, 0.834]],
  "dos_ef_per_ev_cell": 11.31,
  "formation_energy_ev_per_atom": -0.7076
}

# 3
{
  "formula": "Zr4AgPt",
  "functional": "PBE",
  "state": "optimized geometry",
  "lattice": [[0.000, 3.968, 3.968], [3.968, 0.000, 3.968], [3.968, 3.968, 0.000]],
  "species": ["Zr", "Zr", "Zr", "Zr", "Ag", "Pt"],
  "frac_coords": [[0.376, 0.376, 0.376], [0.376, 0.376, 0.873], [0.376, 0.873, 0.376], [0.873, 0.376, 0.376], [0.000, 0.000, 0.000], [0.750, 0.750, 0.750]],
  "dos_ef_per_ev_cell": 5.74,
  "formation_energy_ev_per_atom": 0.2161
}

# 4
{
  "formula": "Zr2AgPt",
  "functional": "PBE",
  "state": "optimized geometry",
  "lattice": [[1.570, 0.907, 9.364], [-1.570, 0.907, 9.364], [0.000, -1.813, 9.364]],
  "species": ["Zr", "Zr", "Ag", "Pt"],
  "frac_coords": [[0.246, 0.246, 0.246], [0.754, 0.754, 0.754], [0.000, 0.000, 0.000], [0.500, 0.500, 0.500]],
  "dos_ef_per_ev_cell": 4.05,
  "formation_energy_ev_per_atom": -0.2042
}